[1]
Ac2ZnPd2 after structural relaxation, computed with PBE.

Calculated volume: 126 Å³/cell
E_form: -0.671 eV per atom
E_tot: -4.65 eV/atom

Cell lengths 5.949, 5.949, 5.949 Å; angles 135.08, 118.74, 79.11 degrees
Positions (direct):
Ac: 0.200 0.200 0.000
Ac: 0.800 0.800 0.000
Zn: 0.500 0.000 0.500
Pd: 0.242 0.500 0.742
Pd: 0.758 0.500 0.258

[2]
AcZn4Pd8 after structural relaxation, computed with PBE.

Calculated volume: 215 Å³/cell
E_form: -0.560 eV per atom
E_tot: -4.46 eV/atom

Cell lengths 6.886, 6.886, 6.886 Å; angles 98.65, 98.65, 134.38 degrees
Positions (direct):
Ac: 0.000 0.000 0.000
Zn: 0.000 0.000 0.500
Zn: 0.000 0.500 0.000
Zn: 0.500 0.000 0.000
Zn: 0.500 0.500 0.500
Pd: 0.000 0.344 0.344
Pd: 0.000 0.656 0.656
Pd: 0.274 0.500 0.774
Pd: 0.344 0.000 0.344
Pd: 0.500 0.274 0.774
Pd: 0.500 0.726 0.226
Pd: 0.656 0.000 0.656
Pd: 0.726 0.500 0.226

[3]
Ac3ZnPd3 after structural relaxation, computed with PBE.

Calculated volume: 438 Å³/cell
E_form: -0.608 eV per atom
E_tot: -4.78 eV/atom

Cell lengths 9.103, 9.103, 6.098 Å; angles 90.00, 90.00, 120.00 degrees
Positions (direct):
Ac: 0.056 0.696 0.250
Ac: 0.304 0.360 0.250
Ac: 0.360 0.056 0.750
Ac: 0.640 0.944 0.250
Ac: 0.696 0.640 0.750
Ac: 0.944 0.304 0.750
Zn: 0.333 0.667 0.750
Zn: 0.667 0.333 0.250
Pd: 0.060 0.687 0.750
Pd: 0.313 0.373 0.750
Pd: 0.373 0.060 0.250
Pd: 0.627 0.940 0.750
Pd: 0.687 0.627 0.250
Pd: 0.940 0.313 0.250

[4]
AcZn8Pd2 after structural relaxation, computed with PBE.

Calculated volume: 250 Å³/cell
E_form: 0.014 eV per atom
E_tot: -2.23 eV/atom

Cell lengths 5.210, 5.210, 9.217 Å; angles 90.00, 90.00, 90.00 degrees
Positions (direct):
Ac: 0.000 0.000 0.000
Zn: 0.251 0.251 0.299
Zn: 0.251 0.251 0.701
Zn: 0.251 0.749 0.299
Zn: 0.251 0.749 0.701
Zn: 0.749 0.251 0.299
Zn: 0.749 0.251 0.701
Zn: 0.749 0.749 0.299
Zn: 0.749 0.749 0.701
Pd: 0.000 0.500 0.500
Pd: 0.500 0.000 0.500

[5]
AcZnPd after structural relaxation, computed with PBE.

Calculated volume: 148 Å³/cell
E_form: -0.642 eV per atom
E_tot: -4.17 eV/atom

Cell lengths 6.136, 6.136, 6.136 Å; angles 136.22, 99.21, 96.77 degrees
Positions (direct):
Ac: 0.245 0.245 0.000
Ac: 0.755 0.755 0.000
Zn: 0.336 0.000 0.336
Zn: 0.664 0.000 0.664
Pd: 0.179 0.500 0.679
Pd: 0.821 0.500 0.321

[6]
Ac3Zn6Pd5 after structural relaxation, computed with PBE.

Calculated volume: 577 Å³/cell
E_form: -0.618 eV per atom
E_tot: -3.90 eV/atom

Cell lengths 4.398, 13.216, 9.927 Å; angles 90.00, 90.00, 90.00 degrees
Positions (direct):
Ac: 0.250 0.067 0.246
Ac: 0.250 0.433 0.246
Ac: 0.250 0.750 0.265
Ac: 0.750 0.250 0.735
Ac: 0.750 0.567 0.754
Ac: 0.750 0.933 0.754
Zn: 0.250 0.066 0.583
Zn: 0.250 0.250 0.015
Zn: 0.250 0.250 0.465
Zn: 0.250 0.434 0.583
Zn: 0.250 0.606 0.991
Zn: 0.250 0.894 0.991
Zn: 0.750 0.106 0.009
Zn: 0.750 0.394 0.009
Zn: 0.750 0.566 0.417
Zn: 0.750 0.750 0.535
Zn: 0.750 0.750 0.985
Zn: 0.750 0.934 0.417
Pd: 0.250 0.085 0.862
Pd: 0.250 0.415 0.862
Pd: 0.250 0.639 0.544
Pd: 0.250 0.750 0.800
Pd: 0.250 0.861 0.544
Pd: 0.750 0.139 0.456
Pd: 0.750 0.250 0.200
Pd: 0.750 0.361 0.456
Pd: 0.750 0.585 0.138
Pd: 0.750 0.915 0.138

[7]
AcZn2Pd6 after structural relaxation, computed with PBE.

Calculated volume: 375 Å³/cell
E_form: -0.230 eV per atom
E_tot: -4.43 eV/atom

Cell lengths 8.095, 8.095, 8.095 Å; angles 60.00, 60.00, 60.00 degrees
Positions (direct):
Ac: 0.125 0.125 0.125
Ac: 0.875 0.875 0.875
Zn: 0.000 0.500 0.500
Zn: 0.500 0.000 0.500
Zn: 0.500 0.500 0.000
Zn: 0.500 0.500 0.500
Pd: 0.123 0.123 0.627
Pd: 0.123 0.627 0.123
Pd: 0.123 0.627 0.627
Pd: 0.373 0.373 0.877
Pd: 0.373 0.877 0.373
Pd: 0.373 0.877 0.877
Pd: 0.627 0.123 0.123
Pd: 0.627 0.123 0.627
Pd: 0.627 0.627 0.123
Pd: 0.877 0.373 0.373
Pd: 0.877 0.373 0.877
Pd: 0.877 0.877 0.373

[8]
AcZnPd2 after structural relaxation, computed with PBE.

Calculated volume: 88 Å³/cell
E_form: -0.746 eV per atom
E_tot: -4.69 eV/atom

Cell lengths 5.755, 5.755, 5.755 Å; angles 45.54, 45.54, 45.54 degrees
Positions (direct):
Ac: 0.000 0.000 0.000
Zn: 0.500 0.500 0.500
Pd: 0.208 0.208 0.208
Pd: 0.792 0.792 0.792

[9]
AcZn2Pd2 after structural relaxation, computed with PBE.

Calculated volume: 208 Å³/cell
E_form: -0.645 eV per atom
E_tot: -4.05 eV/atom

Cell lengths 4.548, 4.548, 10.064 Å; angles 90.00, 90.00, 90.00 degrees
Positions (direct):
Ac: 0.250 0.250 0.242
Ac: 0.750 0.750 0.758
Zn: 0.250 0.250 0.879
Zn: 0.250 0.750 0.500
Zn: 0.750 0.250 0.500
Zn: 0.750 0.750 0.121
Pd: 0.250 0.250 0.625
Pd: 0.250 0.750 0.000
Pd: 0.750 0.250 0.000
Pd: 0.750 0.750 0.375

[10]
Ac3Zn8Pd3 after structural relaxation, computed with PBE.

Calculated volume: 292 Å³/cell
E_form: -0.468 eV per atom
E_tot: -3.19 eV/atom

Cell lengths 8.557, 8.557, 8.557 Å; angles 149.88, 109.14, 78.88 degrees
Positions (direct):
Ac: 0.000 0.000 0.000
Ac: 0.326 0.326 0.000
Ac: 0.674 0.674 0.000
Zn: 0.034 0.678 0.356
Zn: 0.156 0.880 0.277
Zn: 0.322 0.678 0.644
Zn: 0.397 0.120 0.277
Zn: 0.603 0.880 0.723
Zn: 0.678 0.322 0.356
Zn: 0.844 0.120 0.723
Zn: 0.966 0.322 0.644
Pd: 0.268 0.500 0.768
Pd: 0.500 0.000 0.500
Pd: 0.732 0.500 0.232

[11]
AcZn5Pd2 after structural relaxation, computed with PBE.

Calculated volume: 152 Å³/cell
E_form: -0.436 eV per atom
E_tot: -3.04 eV/atom

Cell lengths 6.512, 6.512, 6.512 Å; angles 142.74, 110.30, 81.78 degrees
Positions (direct):
Ac: 0.000 0.000 0.000
Zn: 0.174 0.353 0.821
Zn: 0.468 0.647 0.821
Zn: 0.500 0.000 0.500
Zn: 0.532 0.353 0.179
Zn: 0.826 0.647 0.179
Pd: 0.245 0.745 0.500
Pd: 0.755 0.255 0.500

[12]
Ac4Zn2Pd after structural relaxation, computed with PBE.

Calculated volume: 229 Å³/cell
E_form: -0.273 eV per atom
E_tot: -3.73 eV/atom

Cell lengths 6.672, 6.672, 6.672 Å; angles 109.52, 109.52, 109.37 degrees
Positions (direct):
Ac: 0.000 0.000 0.500
Ac: 0.000 0.500 0.000
Ac: 0.500 0.000 0.000
Ac: 0.500 0.500 0.500
Zn: 0.000 0.500 0.500
Zn: 0.500 0.000 0.500
Pd: 0.000 0.000 0.000

[13]
Ac2ZnPd7 after structural relaxation, computed with PBE.

Calculated volume: 207 Å³/cell
E_form: -0.560 eV per atom
E_tot: -5.14 eV/atom

Cell lengths 4.099, 4.099, 12.316 Å; angles 90.00, 90.00, 90.00 degrees
Positions (direct):
Ac: 0.000 0.500 0.236
Ac: 0.500 0.000 0.764
Zn: 0.000 0.000 0.500
Pd: 0.000 0.000 0.000
Pd: 0.000 0.500 0.639
Pd: 0.000 0.500 0.854
Pd: 0.500 0.000 0.146
Pd: 0.500 0.000 0.361
Pd: 0.500 0.500 0.000
Pd: 0.500 0.500 0.500

[14]
Ac2ZnPd after structural relaxation, computed with PBE.

Calculated volume: 129 Å³/cell
E_form: 0.131 eV per atom
E_tot: -3.54 eV/atom

Cell lengths 10.780, 10.780, 10.780 Å; angles 20.07, 20.07, 20.07 degrees
Positions (direct):
Ac: 0.088 0.088 0.088
Ac: 0.912 0.912 0.912
Zn: 0.500 0.500 0.500
Pd: 0.000 0.000 0.000

[15]
AcZnPd after structural relaxation, computed with PBE.

Calculated volume: 285 Å³/cell
E_form: -0.658 eV per atom
E_tot: -4.18 eV/atom

Cell lengths 7.563, 4.419, 8.533 Å; angles 90.00, 90.00, 90.00 degrees
Positions (direct):
Ac: 0.031 0.250 0.198
Ac: 0.469 0.750 0.698
Ac: 0.531 0.250 0.302
Ac: 0.969 0.750 0.802
Zn: 0.155 0.250 0.567
Zn: 0.345 0.750 0.067
Zn: 0.655 0.250 0.933
Zn: 0.845 0.750 0.433
Pd: 0.230 0.750 0.393
Pd: 0.270 0.250 0.893
Pd: 0.730 0.750 0.107
Pd: 0.770 0.250 0.607

[16]
AcZnPd2 after structural relaxation, computed with PBE.

Calculated volume: 86 Å³/cell
E_form: -0.419 eV per atom
E_tot: -4.36 eV/atom

Cell lengths 4.797, 4.797, 3.744 Å; angles 90.00, 90.00, 90.00 degrees
Positions (direct):
Ac: 0.000 0.000 0.000
Zn: 0.500 0.500 0.000
Pd: 0.000 0.500 0.500
Pd: 0.500 0.000 0.500

[17]
AcZn6Pd4 after structural relaxation, computed with PBE.

Calculated volume: 195 Å³/cell
E_form: -0.479 eV per atom
E_tot: -3.44 eV/atom

Cell lengths 7.321, 7.321, 4.204 Å; angles 90.00, 90.00, 120.00 degrees
Positions (direct):
Ac: 0.000 0.000 0.000
Zn: 0.207 0.413 0.500
Zn: 0.207 0.793 0.500
Zn: 0.537 0.074 0.000
Zn: 0.537 0.463 0.000
Zn: 0.587 0.793 0.500
Zn: 0.926 0.463 0.000
Pd: 0.333 0.667 0.000
Pd: 0.405 0.202 0.500
Pd: 0.798 0.202 0.500
Pd: 0.798 0.595 0.500

[18]
AcZn2Pd5 after structural relaxation, computed with PBE.

Calculated volume: 148 Å³/cell
E_form: -0.577 eV per atom
E_tot: -4.65 eV/atom

Cell lengths 6.620, 6.620, 6.620 Å; angles 144.22, 117.04, 74.58 degrees
Positions (direct):
Ac: 0.000 0.000 0.000
Zn: 0.267 0.767 0.500
Zn: 0.733 0.233 0.500
Pd: 0.163 0.362 0.801
Pd: 0.438 0.638 0.801
Pd: 0.500 0.000 0.500
Pd: 0.562 0.362 0.199
Pd: 0.837 0.638 0.199

[19]
AcZn6Pd6 after structural relaxation, computed with PBE.

Calculated volume: 213 Å³/cell
E_form: -0.520 eV per atom
E_tot: -3.82 eV/atom

Cell lengths 6.876, 6.876, 6.876 Å; angles 134.66, 98.89, 98.19 degrees
Positions (direct):
Ac: 0.000 0.000 0.000
Zn: 0.000 0.000 0.500
Zn: 0.000 0.500 0.000
Zn: 0.241 0.500 0.741
Zn: 0.500 0.000 0.000
Zn: 0.500 0.500 0.500
Zn: 0.759 0.500 0.259
Pd: 0.202 0.702 0.500
Pd: 0.345 0.000 0.345
Pd: 0.345 0.345 0.000
Pd: 0.655 0.000 0.655
Pd: 0.655 0.655 0.000
Pd: 0.798 0.298 0.500

[20]
Ac3ZnPd2 after structural relaxation, computed with PBE.

Calculated volume: 716 Å³/cell
E_form: -0.593 eV per atom
E_tot: -4.59 eV/atom

Cell lengths 13.087, 4.240, 12.909 Å; angles 90.00, 90.00, 90.00 degrees
Positions (direct):
Ac: 0.069 0.250 0.129
Ac: 0.121 0.750 0.572
Ac: 0.200 0.250 0.825
Ac: 0.300 0.750 0.325
Ac: 0.379 0.250 0.072
Ac: 0.431 0.750 0.629
Ac: 0.569 0.250 0.371
Ac: 0.621 0.750 0.928
Ac: 0.700 0.250 0.675
Ac: 0.800 0.750 0.175
Ac: 0.879 0.250 0.428
Ac: 0.931 0.750 0.871
Zn: 0.123 0.250 0.376
Zn: 0.377 0.750 0.876
Zn: 0.623 0.250 0.124
Zn: 0.877 0.750 0.624
Pd: 0.017 0.750 0.307
Pd: 0.198 0.750 0.999
Pd: 0.302 0.250 0.499
Pd: 0.483 0.250 0.807
Pd: 0.517 0.750 0.193
Pd: 0.698 0.750 0.501
Pd: 0.802 0.250 0.001
Pd: 0.983 0.250 0.693

[21]
AcZn3Pd4 after structural relaxation, computed with PBE.

Calculated volume: 152 Å³/cell
E_form: -0.483 eV per atom
E_tot: -4.07 eV/atom

Cell lengths 4.332, 4.332, 8.108 Å; angles 90.00, 90.00, 90.00 degrees
Positions (direct):
Ac: 0.000 0.000 0.000
Zn: 0.000 0.000 0.500
Zn: 0.500 0.500 0.160
Zn: 0.500 0.500 0.840
Pd: 0.000 0.500 0.322
Pd: 0.000 0.500 0.678
Pd: 0.500 0.000 0.322
Pd: 0.500 0.000 0.678